## Y2FeAu (PBE-GGA)

Data for crystalline Y2FeAu at its relaxed geometry.

Results
volume	196	Å³ per cell
symmetry	I-42d
energy relative to the elements	0.519	eV/atom
total energy	-45.18	eV/cell

a = 4.661 Å, b = 4.661 Å, c = 9.598 Å
α = 75.95°, β = 75.95°, γ = 90.00°
Each line ends with the local moment (μB).
Atoms (fractional coordinates):
Y (0.607, 0.125, 0.250)  0.04
Y (0.143, 0.625, 0.250)  0.04
Y (0.375, 0.393, 0.750)  0.04
Y (0.875, 0.857, 0.750)  0.04
Au (0.000, 0.000, 0.000)  0.01
Au (0.750, 0.250, 0.500)  0.01
Fe (0.500, 0.500, 0.000)  -0.05
Fe (0.250, 0.750, 0.500)  -0.09

***

## Nd2HSe (PBE-GGA)

Data for crystalline Nd2HSe at its relaxed geometry.

Results
volume	90	Å³ per cell
symmetry	R-3m
total energy	-20.41	eV/cell

a = 3.895 Å, b = 3.895 Å, c = 7.186 Å
α = 74.27°, β = 74.27°, γ = 60.00°
Atoms (fractional coordinates):
H (0.000, 0.000, 0.000)
Nd (0.261, 0.261, 0.216)
Nd (0.739, 0.739, 0.784)
Se (0.500, 0.500, 0.500)

***

## NaCaPmIr (PBE-GGA)

Data for crystalline NaCaPmIr at its relaxed geometry.

Results
volume	95	Å³ per cell
symmetry	F-43m
energy relative to the elements	-0.162	eV/atom
total energy	-17.58	eV/cell

a = 5.126 Å, b = 5.126 Å, c = 5.126 Å
α = 60.00°, β = 60.00°, γ = 60.00°
Atoms (fractional coordinates):
Na (0.250, 0.250, 0.250)
Ca (0.500, 0.500, 0.500)
Ir (0.750, 0.750, 0.750)
Pm (0.000, 0.000, 0.000)